--- i ---
Computed, not measured: an optimized crystal structure of PmEr3Tm5 at the PBE level of DFT.

Properties
* space-group type: Imma

Lattice parameters (Å, degrees): 9.137 10.381 7.119 110.06 90.00 116.11
Sites, in units of the cell vectors:
Pm (0.701, 0.000, 0.750)
Pm (0.299, 0.000, 0.250)
Er (0.000, 0.000, 0.000)
Er (0.816, 0.627, 0.564)
Er (0.000, 0.000, 0.500)
Er (0.184, 0.373, 0.436)
Er (0.811, 0.627, 0.064)
Er (0.189, 0.373, 0.936)
Tm (0.341, 0.000, 0.750)
Tm (0.517, 0.673, 0.834)
Tm (0.844, 0.327, 0.161)
Tm (0.483, 0.327, 0.166)
Tm (0.517, 0.673, 0.339)
Tm (0.659, 0.000, 0.250)
Tm (0.156, 0.673, 0.334)
Tm (0.844, 0.327, 0.666)
Tm (0.483, 0.327, 0.661)
Tm (0.156, 0.673, 0.839)

=====

--- ii ---
Computed, not measured: an optimized crystal structure of PmEr3Tm5 at the PBE level of DFT.

Properties
* space-group type: C2/m

Lattice parameters (Å, degrees): 9.220 9.220 12.739 51.13 51.13 50.57
Sites, in units of the cell vectors:
Pm (0.895, 0.895, 0.869)
Pm (0.105, 0.105, 0.131)
Er (0.695, 0.695, 0.684)
Er (0.831, 0.831, 0.339)
Er (0.000, 0.000, 0.000)
Er (0.000, 0.000, 0.500)
Er (0.305, 0.305, 0.316)
Er (0.169, 0.169, 0.661)
Tm (0.922, 0.510, 0.219)
Tm (0.322, 0.678, 0.000)
Tm (0.629, 0.629, 0.072)
Tm (0.444, 0.444, 0.435)
Tm (0.556, 0.556, 0.565)
Tm (0.371, 0.371, 0.928)
Tm (0.510, 0.922, 0.219)
Tm (0.678, 0.322, 0.000)
Tm (0.078, 0.490, 0.781)
Tm (0.490, 0.078, 0.781)

=====

i takes first place; second place is 0.302 eV/atom up.

=====

--- i ---
Computed, not measured: an optimized crystal structure of Pm2Er12Tm5 at the PBE level of DFT.

Properties
* space-group type: P-1

Lattice parameters (Å, degrees): 6.188 12.562 11.974 133.16 92.01 109.68
Sites, in units of the cell vectors:
Pm (0.797, 0.062, 0.994)
Pm (0.203, 0.938, 0.006)
Er (0.122, 0.217, 0.375)
Er (0.014, 0.735, 0.098)
Er (0.598, 0.823, 0.040)
Er (0.883, 0.574, 0.240)
Er (0.303, 0.470, 0.295)
Er (0.446, 0.900, 0.575)
Er (0.554, 0.100, 0.425)
Er (0.117, 0.426, 0.760)
Er (0.697, 0.530, 0.705)
Er (0.986, 0.265, 0.902)
Er (0.402, 0.177, 0.960)
Er (0.878, 0.783, 0.625)
Tm (0.287, 0.649, 0.661)
Tm (0.450, 0.662, 0.174)
Tm (0.000, 0.000, 0.500)
Tm (0.550, 0.338, 0.826)
Tm (0.713, 0.351, 0.339)

=====

--- ii ---
Computed, not measured: an optimized crystal structure of Pm2Er12Tm5 at the PBE level of DFT.

Properties
* space-group type: C2/m

Lattice parameters (Å, degrees): 9.131 12.275 8.411 132.45 90.00 111.84
Sites, in units of the cell vectors:
Pm (0.685, 0.000, 0.000)
Pm (0.315, 0.000, 0.000)
Er (0.095, 0.190, 0.307)
Er (0.024, 0.685, 0.930)
Er (0.661, 0.685, 0.930)
Er (0.182, 0.747, 0.399)
Er (0.566, 0.747, 0.399)
Er (0.557, 0.114, 0.786)
Er (0.443, 0.886, 0.214)
Er (0.818, 0.253, 0.601)
Er (0.434, 0.253, 0.601)
Er (0.976, 0.315, 0.070)
Er (0.339, 0.315, 0.070)
Er (0.905, 0.810, 0.693)
Tm (0.303, 0.607, 0.614)
Tm (0.233, 0.466, 0.889)
Tm (0.000, 0.000, 0.500)
Tm (0.767, 0.534, 0.111)
Tm (0.697, 0.393, 0.386)

=====

i takes first place; second place is 0.067 eV/atom up.

=====

--- i ---
Computed, not measured: an optimized crystal structure of Pm3Er3Tm2 at the PBE level of DFT.

Properties
* space-group type: C2/m

Lattice parameters (Å, degrees): 5.670 5.970 8.708 111.31 109.00 90.00
Sites, in units of the cell vectors:
Pm (0.365, 0.929, 0.730)
Pm (0.500, 0.500, 0.000)
Pm (0.635, 0.071, 0.270)
Er (0.867, 0.315, 0.734)
Er (0.133, 0.685, 0.266)
Er (0.000, 0.000, 0.000)
Tm (0.750, 0.682, 0.499)
Tm (0.250, 0.318, 0.501)

=====

--- ii ---
Computed, not measured: an optimized crystal structure of Pm3Er3Tm2 at the PBE level of DFT.

Properties
* space-group type: Immm

Lattice parameters (Å, degrees): 5.018 5.034 10.671 103.64 103.60 90.00
Sites, in units of the cell vectors:
Pm (0.126, 0.126, 0.251)
Pm (0.000, 0.500, 0.000)
Pm (0.874, 0.874, 0.749)
Er (0.627, 0.627, 0.254)
Er (0.373, 0.373, 0.746)
Er (0.500, 0.000, 0.000)
Tm (0.751, 0.251, 0.501)
Tm (0.249, 0.749, 0.499)

=====

ii takes first place; second place is 0.063 eV/atom up.

=====

--- i ---
Computed, not measured: an optimized crystal structure of PmEr4Tm6 at the PBE level of DFT.

Properties
* space-group type: Cmcm

Lattice parameters (Å, degrees): 5.566 5.556 25.395 90.00 90.00 120.06
Sites, in units of the cell vectors:
Pm (0.832, 0.664, 0.250)
Pm (0.168, 0.336, 0.750)
Er (0.834, 0.668, 0.541)
Er (0.498, 0.996, 0.121)
Er (0.166, 0.332, 0.459)
Er (0.502, 0.004, 0.879)
Er (0.834, 0.668, 0.959)
Er (0.166, 0.332, 0.041)
Er (0.502, 0.004, 0.621)
Er (0.498, 0.996, 0.379)
Tm (0.500, 0.000, 0.000)
Tm (0.500, 0.000, 0.500)
Tm (0.165, 0.330, 0.319)
Tm (0.835, 0.670, 0.681)
Tm (0.835, 0.670, 0.819)
Tm (0.165, 0.330, 0.181)
Tm (0.832, 0.663, 0.398)
Tm (0.168, 0.337, 0.602)
Tm (0.168, 0.337, 0.898)
Tm (0.832, 0.663, 0.102)
Tm (0.499, 0.997, 0.250)
Tm (0.501, 0.003, 0.750)

=====

--- ii ---
Computed, not measured: an optimized crystal structure of PmEr4Tm6 at the PBE level of DFT.

Properties
* space-group type: I-42m

Lattice parameters (Å, degrees): 7.615 7.615 8.370 117.06 117.06 90.00
Sites, in units of the cell vectors:
Pm (0.500, 0.500, 0.000)
Er (0.089, 0.759, 0.848)
Er (0.911, 0.911, 0.152)
Er (0.759, 0.089, 0.848)
Er (0.241, 0.241, 0.152)
Tm (0.935, 0.434, 0.370)
Tm (0.434, 0.935, 0.370)
Tm (0.566, 0.566, 0.630)
Tm (0.000, 0.500, 0.000)
Tm (0.065, 0.065, 0.630)
Tm (0.500, 0.000, 0.000)

=====

i takes first place; second place is 0.344 eV/atom up.

=====

--- i ---
Computed, not measured: an optimized crystal structure of PmErTm4 at the PBE level of DFT.

Properties
* space-group type: P2/m

Lattice parameters (Å, degrees): 3.439 6.536 9.619 90.01 89.98 121.43
Sites, in units of the cell vectors:
Pm (0.997, 0.001, 0.502)
Er (0.497, 0.501, 0.002)
Tm (0.997, 0.501, 0.672)
Tm (0.997, 0.501, 0.332)
Tm (0.497, 0.001, 0.166)
Tm (0.497, 0.001, 0.837)

=====

--- ii ---
Computed, not measured: an optimized crystal structure of PmErTm4 at the PBE level of DFT.

Properties
* space-group type: F-43m

Lattice parameters (Å, degrees): 6.523 6.523 6.523 60.00 60.00 60.00
Sites, in units of the cell vectors:
Tm (0.625, 0.625, 0.124)
Tm (0.625, 0.124, 0.625)
Tm (0.625, 0.625, 0.625)
Tm (0.124, 0.625, 0.625)
Pm (0.250, 0.250, 0.250)
Er (0.000, 0.000, 0.000)

=====

i takes first place; second place is 0.207 eV/atom up.

=====

--- i ---
Computed, not measured: an optimized crystal structure of PmEr6Tm4 at the PBE level of DFT.

Properties
* space-group type: Cmcm

Lattice parameters (Å, degrees): 5.577 5.560 25.441 90.00 90.00 120.10
Sites, in units of the cell vectors:
Pm (0.830, 0.659, 0.250)
Pm (0.170, 0.341, 0.750)
Er (0.500, 0.000, 0.000)
Er (0.500, 0.000, 0.500)
Er (0.163, 0.325, 0.320)
Er (0.837, 0.675, 0.680)
Er (0.837, 0.675, 0.820)
Er (0.163, 0.325, 0.180)
Er (0.830, 0.659, 0.399)
Er (0.170, 0.341, 0.601)
Er (0.170, 0.341, 0.899)
Er (0.830, 0.659, 0.101)
Er (0.496, 0.992, 0.250)
Er (0.504, 0.008, 0.750)
Tm (0.835, 0.669, 0.542)
Tm (0.496, 0.991, 0.121)
Tm (0.165, 0.331, 0.458)
Tm (0.504, 0.009, 0.879)
Tm (0.835, 0.669, 0.958)
Tm (0.165, 0.331, 0.042)
Tm (0.504, 0.009, 0.621)
Tm (0.496, 0.991, 0.379)

=====

--- ii ---
Computed, not measured: an optimized crystal structure of PmEr6Tm4 at the PBE level of DFT.

Properties
* space-group type: I-42m

Lattice parameters (Å, degrees): 7.504 7.504 8.430 116.43 116.43 90.00
Sites, in units of the cell vectors:
Pm (0.500, 0.500, 0.000)
Er (0.928, 0.444, 0.372)
Er (0.444, 0.928, 0.372)
Er (0.556, 0.556, 0.628)
Er (0.000, 0.500, 0.000)
Er (0.072, 0.072, 0.628)
Er (0.500, 0.000, 0.000)
Tm (0.082, 0.760, 0.842)
Tm (0.918, 0.918, 0.158)
Tm (0.760, 0.082, 0.842)
Tm (0.240, 0.240, 0.158)

=====

i takes first place; second place is 0.328 eV/atom up.

=====

--- i ---
Computed, not measured: an optimized crystal structure of Pm4Er6Tm at the PBE level of DFT.

Properties
* space-group type: I-42m

Lattice parameters (Å, degrees): 9.671 9.671 9.671 57.69 140.11 140.11
Sites, in units of the cell vectors:
Pm (0.000, 0.636, 0.014)
Pm (0.378, 0.364, 0.364)
Pm (0.000, 0.014, 0.636)
Pm (0.622, 0.986, 0.986)
Er (0.000, 0.804, 0.447)
Er (0.000, 0.447, 0.804)
Er (0.357, 0.553, 0.553)
Er (0.500, 0.500, 0.000)
Er (0.643, 0.196, 0.196)
Er (0.500, 0.000, 0.500)
Tm (0.000, 0.000, 0.000)

=====

--- ii ---
Computed, not measured: an optimized crystal structure of Pm4Er6Tm at the PBE level of DFT.

Properties
* space-group type: P-6m2

Lattice parameters (Å, degrees): 3.541 10.946 10.946 120.00 90.00 90.00
Sites, in units of the cell vectors:
Pm (0.500, 0.835, 0.670)
Pm (0.500, 0.330, 0.165)
Pm (0.500, 0.835, 0.165)
Pm (0.000, 0.333, 0.667)
Er (0.000, 0.509, 0.018)
Er (0.500, 0.641, 0.821)
Er (0.000, 0.509, 0.491)
Er (0.000, 0.982, 0.491)
Er (0.500, 0.179, 0.821)
Er (0.500, 0.179, 0.359)
Tm (0.000, 0.000, 0.000)

=====

ii takes first place; second place is 0.129 eV/atom up.

=====

--- i ---
Computed, not measured: an optimized crystal structure of Pm4Er4Tm at the PBE level of DFT.

Properties
* space-group type: C2/m

Lattice parameters (Å, degrees): 5.567 8.844 8.907 45.08 71.79 71.66
Sites, in units of the cell vectors:
Pm (0.280, 0.153, 0.286)
Pm (0.720, 0.847, 0.714)
Pm (0.867, 0.307, 0.959)
Pm (0.133, 0.693, 0.041)
Er (0.623, 0.428, 0.326)
Er (0.928, 0.769, 0.374)
Er (0.377, 0.572, 0.674)
Er (0.072, 0.231, 0.626)
Tm (0.500, 0.000, 0.000)

=====

--- ii ---
Computed, not measured: an optimized crystal structure of Pm4Er4Tm at the PBE level of DFT.

Properties
* space-group type: I4/mmm

Lattice parameters (Å, degrees): 5.041 7.985 7.985 84.28 71.60 71.60
Sites, in units of the cell vectors:
Pm (0.669, 0.331, 0.331)
Pm (0.331, 0.669, 0.669)
Pm (0.000, 0.669, 0.331)
Pm (0.000, 0.331, 0.669)
Er (0.666, 0.669, 0.000)
Er (0.334, 0.331, 0.000)
Er (0.666, 0.000, 0.669)
Er (0.334, 0.000, 0.331)
Tm (0.000, 0.000, 0.000)

=====

ii takes first place; second place is 0.085 eV/atom up.

=====

--- i ---
Computed, not measured: an optimized crystal structure of PmEr6Tm2 at the PBE level of DFT.

Properties
* space-group type: P4_2/mnm

Lattice parameters (Å, degrees): 4.979 10.548 10.547 90.00 90.00 90.00
Sites, in units of the cell vectors:
Pm (0.500, 0.500, 0.000)
Pm (0.000, 0.000, 0.500)
Er (0.000, 0.000, 0.166)
Er (0.000, 0.666, 0.500)
Er (0.000, 0.668, 0.833)
Er (0.500, 0.167, 0.667)
Er (0.500, 0.166, 0.000)
Er (0.500, 0.500, 0.334)
Er (0.000, 0.000, 0.834)
Er (0.000, 0.334, 0.500)
Er (0.000, 0.332, 0.167)
Er (0.500, 0.833, 0.333)
Er (0.500, 0.834, 0.000)
Er (0.500, 0.500, 0.666)
Tm (0.000, 0.332, 0.832)
Tm (0.500, 0.832, 0.668)
Tm (0.500, 0.168, 0.332)
Tm (0.000, 0.668, 0.168)

=====

--- ii ---
Computed, not measured: an optimized crystal structure of PmEr6Tm2 at the PBE level of DFT.

Properties
* space-group type: C2/m

Lattice parameters (Å, degrees): 3.455 5.557 16.996 119.37 101.72 89.99
Sites, in units of the cell vectors:
Pm (0.500, 0.500, 0.500)
Er (0.446, 0.169, 0.946)
Er (0.554, 0.831, 0.054)
Er (0.772, 0.161, 0.274)
Er (0.115, 0.170, 0.613)
Er (0.228, 0.839, 0.726)
Er (0.885, 0.830, 0.387)
Tm (0.836, 0.501, 0.834)
Tm (0.164, 0.499, 0.166)

=====

i takes first place; second place is 0.050 eV/atom up.